# 1
A relaxed Ho2Zn3Ga4Pd crystal, computed with PBE.

Lattice parameters (Å, degrees): 4.1447 4.1447 10.6836 90.00 90.00 90.00
Positions (direct):
Ho: 0.0000 0.5000 0.2484
Ho: 0.5000 0.0000 0.7516
Zn: 0.0000 0.0000 0.0000
Zn: 0.0000 0.5000 0.6387
Zn: 0.5000 0.0000 0.3613
Ga: 0.0000 0.0000 0.5000
Ga: 0.0000 0.5000 0.8635
Ga: 0.5000 0.0000 0.1365
Ga: 0.5000 0.5000 0.5000
Pd: 0.5000 0.5000 0.0000

Computed properties:
spin magnetization	0.00	μB/f.u.
final energy	-35.18	eV per cell
E_form	-0.490	eV per atom


# 2
A relaxed HoZnGaPd2 crystal, computed with PBE.

Lattice parameters (Å, degrees): 7.1656 7.1656 5.4075 90.00 90.00 137.11
Positions (direct):
Ho: 0.2500 0.7500 0.7735
Ho: 0.7500 0.2500 0.2265
Zn: 0.0000 0.0000 0.0000
Zn: 0.5000 0.5000 0.0000
Ga: 0.2500 0.2500 0.5000
Ga: 0.7500 0.7500 0.5000
Pd: 0.1472 0.8528 0.2942
Pd: 0.3528 0.6472 0.2942
Pd: 0.6472 0.3528 0.7058
Pd: 0.8528 0.1472 0.7058

Computed properties:
spin magnetization	0.00	μB/f.u.
final energy	-44.26	eV per cell
E_form	-0.573	eV per atom


# 3
A relaxed Ho2ZnGa2Pd5 crystal, computed with PBE.

Lattice parameters (Å, degrees): 9.9830 9.9830 3.5670 90.00 90.00 90.00
Positions (direct):
Ho: 0.1741 0.3259 0.0000
Ho: 0.3259 0.8259 0.0000
Ho: 0.6741 0.1741 0.0000
Ho: 0.8259 0.6741 0.0000
Zn: 0.0000 0.0000 0.0000
Zn: 0.5000 0.5000 0.0000
Ga: 0.1258 0.6258 0.0000
Ga: 0.3742 0.1258 0.0000
Ga: 0.6258 0.8742 0.0000
Ga: 0.8742 0.3742 0.0000
Pd: 0.0000 0.5000 0.5000
Pd: 0.0554 0.7987 0.5000
Pd: 0.2013 0.0554 0.5000
Pd: 0.2987 0.5554 0.5000
Pd: 0.4446 0.2987 0.5000
Pd: 0.5000 0.0000 0.5000
Pd: 0.5554 0.7013 0.5000
Pd: 0.7013 0.4446 0.5000
Pd: 0.7987 0.9446 0.5000
Pd: 0.9446 0.2013 0.5000

Computed properties:
spin magnetization	0.00	μB/f.u.
final energy	-99.03	eV per cell
E_form	-0.707	eV per atom


# 4
A relaxed HoZnGa2Pd crystal, computed with PBE.

Lattice parameters (Å, degrees): 6.0737 6.0737 6.0737 139.97 139.97 57.90
Positions (direct):
Ho: 0.0000 0.0000 0.0000
Zn: 0.7500 0.2500 0.5000
Ga: 0.3853 0.3853 0.0000
Ga: 0.6147 0.6147 0.0000
Pd: 0.2500 0.7500 0.5000

Computed properties:
spin magnetization	0.00	μB/f.u.
final energy	-20.09	eV per cell
E_form	-0.598	eV per atom